1.
{
  "formula": "TcF4",
  "functional": "PBE-GGA",
  "state": "optimized geometry",
  "lattice_angstrom": [[5.1711, 0.0000, 0.0000], [0.0000, 8.7467, 0.0000], [0.0000, 0.0000, 10.7405]],
  "species": ["Tc", "Tc", "Tc", "Tc", "Tc", "Tc", "Tc", "Tc", "F", "F", "F", "F", "F", "F", "F", "F", "F", "F", "F", "F", "F", "F", "F", "F", "F", "F", "F", "F", "F", "F", "F", "F", "F", "F", "F", "F", "F", "F", "F", "F"],
  "frac_coords": [[0.0945, 0.1283, 0.1661], [0.0945, 0.3717, 0.6661], [0.4055, 0.6283, 0.1661], [0.4055, 0.8717, 0.6661], [0.5945, 0.1283, 0.3339], [0.5945, 0.3717, 0.8339], [0.9055, 0.6283, 0.3339], [0.9055, 0.8717, 0.8339], [0.0697, 0.7407, 0.9442], [0.0697, 0.7593, 0.4442], [0.0806, 0.7499, 0.1902], [0.0806, 0.7501, 0.6902], [0.2271, 0.5054, 0.3079], [0.2271, 0.9946, 0.8079], [0.2504, 0.0041, 0.5538], [0.2504, 0.4959, 0.0538], [0.2496, 0.5041, 0.5538], [0.2496, 0.9959, 0.0538], [0.2729, 0.0054, 0.3079], [0.2729, 0.4946, 0.8079], [0.4194, 0.2499, 0.1902], [0.4194, 0.2501, 0.6902], [0.4303, 0.2407, 0.9442], [0.4303, 0.2593, 0.4442], [0.5697, 0.7407, 0.5558], [0.5697, 0.7593, 0.0558], [0.5806, 0.7499, 0.3098], [0.5806, 0.7501, 0.8098], [0.7271, 0.5054, 0.1921], [0.7271, 0.9946, 0.6921], [0.7504, 0.0041, 0.9462], [0.7504, 0.4959, 0.4462], [0.7496, 0.5041, 0.9462], [0.7496, 0.9959, 0.4462], [0.7729, 0.0054, 0.1921], [0.7729, 0.4946, 0.6921], [0.9194, 0.2499, 0.3098], [0.9194, 0.2501, 0.8098], [0.9303, 0.2407, 0.5558], [0.9303, 0.2593, 0.0558]],
  "total_magnetization_mub_per_atom": 0.60,
  "de_polymorph_ev_per_fu": 0.100
}

=====

2.
{
  "formula": "MoP",
  "functional": "PBE-GGA",
  "state": "optimized geometry",
  "lattice_angstrom": [[5.4192, 0.0000, 0.0000], [0.0000, 5.4192, 0.0000], [0.0000, 0.0000, 5.4192]],
  "species": ["Mo", "Mo", "Mo", "Mo", "P", "P", "P", "P"],
  "frac_coords": [[0.0000, 0.0000, 0.0000], [0.0000, 0.5000, 0.5000], [0.5000, 0.0000, 0.5000], [0.5000, 0.5000, 0.0000], [0.2500, 0.2500, 0.7500], [0.2500, 0.7500, 0.2500], [0.7500, 0.2500, 0.2500], [0.7500, 0.7500, 0.7500]],
  "total_magnetization_mub_per_atom": 0.48,
  "total_energy_ev_per_atom": -7.890
}

=====

3.
{
  "formula": "CuAg3",
  "functional": "PBE-GGA",
  "state": "optimized geometry",
  "lattice_angstrom": [[2.8885, 0.0000, 0.0000], [0.0000, 2.8885, 0.0000], [0.0000, 0.0000, 15.7045]],
  "species": ["Cu", "Cu", "Ag", "Ag", "Ag", "Ag", "Ag", "Ag"],
  "frac_coords": [[0.2500, 0.2500, 0.0461], [0.7500, 0.7500, 0.9539], [0.2500, 0.2500, 0.2971], [0.2500, 0.2500, 0.5676], [0.2500, 0.2500, 0.8384], [0.7500, 0.7500, 0.1616], [0.7500, 0.7500, 0.4324], [0.7500, 0.7500, 0.7029]],
  "e_form_ev_per_atom": 0.032
}

=====

4.
{
  "formula": "ReP4",
  "functional": "PBE-GGA",
  "state": "optimized geometry",
  "lattice_angstrom": [[6.2552, 0.0000, 0.0000], [0.0000, 9.2774, 0.0000], [0.0000, 0.0000, 10.9201]],
  "species": ["Re", "Re", "Re", "Re", "Re", "Re", "Re", "Re", "P", "P", "P", "P", "P", "P", "P", "P", "P", "P", "P", "P", "P", "P", "P", "P", "P", "P", "P", "P", "P", "P", "P", "P", "P", "P", "P", "P", "P", "P", "P", "P"],
  "frac_coords": [[0.1218, 0.1097, 0.0755], [0.1218, 0.3903, 0.5755], [0.3782, 0.6097, 0.0755], [0.3782, 0.8903, 0.5755], [0.6218, 0.1097, 0.4245], [0.6218, 0.3903, 0.9245], [0.8782, 0.6097, 0.4245], [0.8782, 0.8903, 0.9245], [0.0021, 0.7092, 0.0690], [0.0021, 0.7908, 0.5690], [0.0614, 0.2177, 0.7360], [0.0614, 0.2823, 0.2360], [0.1886, 0.5521, 0.7381], [0.1886, 0.9479, 0.2381], [0.2454, 0.5437, 0.4187], [0.2454, 0.9563, 0.9187], [0.2546, 0.0437, 0.4187], [0.2546, 0.4563, 0.9187], [0.3114, 0.0521, 0.7381], [0.3114, 0.4479, 0.2381], [0.4386, 0.7177, 0.7360], [0.4386, 0.7823, 0.2360], [0.4979, 0.2092, 0.0690], [0.4979, 0.2908, 0.5690], [0.5021, 0.7092, 0.4310], [0.5021, 0.7908, 0.9310], [0.5614, 0.2177, 0.7640], [0.5614, 0.2823, 0.2640], [0.6886, 0.5521, 0.7619], [0.6886, 0.9479, 0.2619], [0.7454, 0.5437, 0.0813], [0.7454, 0.9563, 0.5813], [0.7546, 0.0437, 0.0813], [0.7546, 0.4563, 0.5813], [0.8114, 0.0521, 0.7619], [0.8114, 0.4479, 0.2619], [0.9386, 0.7177, 0.7640], [0.9386, 0.7823, 0.2640], [0.9979, 0.2092, 0.4310], [0.9979, 0.2908, 0.9310]],
  "total_magnetization_mub_per_atom": 0.00,
  "de_polymorph_ev_per_fu": 0.000
}

=====

5.
{
  "formula": "Pr3Tc5N12",
  "functional": "PBE-GGA",
  "state": "optimized geometry",
  "lattice_angstrom": [[-6.4307, 6.4307, 6.4307], [6.4307, -6.4307, 6.4307], [6.4307, 6.4307, -6.4307]],
  "species": ["Pr", "Pr", "Pr", "Pr", "Pr", "Pr", "Pr", "Pr", "Pr", "Pr", "Pr", "Pr", "Tc", "Tc", "Tc", "Tc", "Tc", "Tc", "Tc", "Tc", "Tc", "Tc", "Tc", "Tc", "Tc", "Tc", "Tc", "Tc", "Tc", "Tc", "Tc", "Tc", "N", "N", "N", "N", "N", "N", "N", "N", "N", "N", "N", "N", "N", "N", "N", "N", "N", "N", "N", "N", "N", "N", "N", "N", "N", "N", "N", "N", "N", "N", "N", "N", "N", "N", "N", "N", "N", "N", "N", "N", "N", "N", "N", "N", "N", "N", "N", "N"],
  "frac_coords": [[0.1250, 0.2500, 0.3750], [0.1250, 0.3750, 0.7500], [0.2500, 0.3750, 0.1250], [0.2500, 0.8750, 0.6250], [0.3750, 0.1250, 0.2500], [0.3750, 0.7500, 0.1250], [0.6250, 0.2500, 0.8750], [0.6250, 0.8750, 0.7500], [0.7500, 0.1250, 0.3750], [0.7500, 0.6250, 0.8750], [0.8750, 0.6250, 0.2500], [0.8750, 0.7500, 0.6250], [0.0000, 0.0000, 0.0000], [0.0000, 0.0000, 0.5000], [0.0000, 0.5000, 0.0000], [0.0000, 0.5000, 0.5000], [0.1250, 0.7500, 0.8750], [0.1250, 0.8750, 0.2500], [0.2500, 0.1250, 0.8750], [0.2500, 0.6250, 0.3750], [0.3750, 0.2500, 0.6250], [0.3750, 0.6250, 0.7500], [0.5000, 0.0000, 0.0000], [0.5000, 0.0000, 0.5000], [0.5000, 0.5000, 0.0000], [0.5000, 0.5000, 0.5000], [0.6250, 0.3750, 0.2500], [0.6250, 0.7500, 0.3750], [0.7500, 0.3750, 0.6250], [0.7500, 0.8750, 0.1250], [0.8750, 0.1250, 0.7500], [0.8750, 0.2500, 0.1250], [0.0106, 0.1940, 0.1125], [0.0106, 0.3167, 0.8982], [0.0815, 0.6940, 0.6833], [0.0815, 0.8875, 0.3982], [0.1018, 0.6125, 0.4185], [0.1018, 0.9894, 0.6833], [0.1125, 0.0106, 0.1940], [0.1125, 0.6018, 0.9185], [0.1833, 0.1940, 0.5815], [0.1833, 0.4894, 0.6018], [0.1940, 0.1125, 0.0106], [0.1940, 0.5815, 0.1833], [0.3060, 0.3167, 0.9185], [0.3060, 0.4894, 0.3875], [0.3167, 0.8982, 0.0106], [0.3167, 0.9185, 0.3060], [0.3875, 0.3060, 0.4894], [0.3875, 0.5815, 0.8982], [0.3982, 0.0815, 0.8875], [0.3982, 0.8167, 0.5106], [0.4185, 0.1018, 0.6125], [0.4185, 0.8167, 0.8060], [0.4894, 0.3875, 0.3060], [0.4894, 0.6018, 0.1833], [0.5106, 0.3982, 0.8167], [0.5106, 0.6125, 0.6940], [0.5815, 0.1833, 0.1940], [0.5815, 0.8982, 0.3875], [0.6018, 0.1833, 0.4894], [0.6018, 0.9185, 0.1125], [0.6125, 0.4185, 0.1018], [0.6125, 0.6940, 0.5106], [0.6833, 0.0815, 0.6940], [0.6833, 0.1018, 0.9894], [0.6940, 0.5106, 0.6125], [0.6940, 0.6833, 0.0815], [0.8060, 0.4185, 0.8167], [0.8060, 0.8875, 0.9894], [0.8167, 0.5106, 0.3982], [0.8167, 0.8060, 0.4185], [0.8875, 0.3982, 0.0815], [0.8875, 0.9894, 0.8060], [0.8982, 0.0106, 0.3167], [0.8982, 0.3875, 0.5815], [0.9185, 0.1125, 0.6018], [0.9185, 0.3060, 0.3167], [0.9894, 0.6833, 0.1018], [0.9894, 0.8060, 0.8875]],
  "total_magnetization_mub_per_atom": 0.02,
  "total_energy_ev_per_atom": -8.719
}

=====

6.
{
  "formula": "TaTlSe3",
  "functional": "PBE-GGA",
  "state": "optimized geometry",
  "lattice_angstrom": [[9.6722, 0.0000, 0.0000], [0.0000, 3.6438, 0.0000], [0.0000, 0.0000, 14.9618]],
  "species": ["Ta", "Ta", "Ta", "Ta", "Tl", "Tl", "Tl", "Tl", "Se", "Se", "Se", "Se", "Se", "Se", "Se", "Se", "Se", "Se", "Se", "Se"],
  "frac_coords": [[0.1620, 0.2500, 0.0712], [0.3380, 0.7500, 0.5712], [0.6620, 0.2500, 0.4288], [0.8380, 0.7500, 0.9288], [0.0175, 0.7500, 0.3289], [0.4825, 0.2500, 0.8289], [0.5175, 0.7500, 0.1711], [0.9825, 0.2500, 0.6711], [0.0273, 0.2500, 0.9007], [0.1839, 0.2500, 0.4988], [0.2458, 0.7500, 0.7199], [0.2542, 0.2500, 0.2199], [0.3162, 0.7500, 0.9988], [0.4727, 0.7500, 0.4007], [0.5273, 0.2500, 0.5993], [0.6838, 0.2500, 0.0012], [0.7458, 0.7500, 0.7801], [0.7542, 0.2500, 0.2801], [0.8162, 0.7500, 0.5012], [0.9727, 0.7500, 0.0993]],
  "total_magnetization_mub_per_atom": 0.00,
  "total_energy_ev_per_atom": -5.572
}

=====

7.
{
  "formula": "NiSb2Pd",
  "functional": "PBE-GGA",
  "state": "optimized geometry",
  "lattice_angstrom": [[6.7688, 0.0000, 0.0000], [0.0000, 6.7688, 0.0000], [0.0000, 0.0000, 6.7688]],
  "species": ["Ni", "Ni", "Ni", "Ni", "Sb", "Sb", "Sb", "Sb", "Sb", "Sb", "Sb", "Sb", "Pd", "Pd", "Pd", "Pd"],
  "frac_coords": [[0.0000, 0.0000, 0.0000], [0.0000, 0.5000, 0.5000], [0.5000, 0.0000, 0.5000], [0.5000, 0.5000, 0.0000], [0.0000, 0.0000, 0.5000], [0.0000, 0.5000, 0.0000], [0.2500, 0.2500, 0.7500], [0.2500, 0.7500, 0.2500], [0.5000, 0.0000, 0.0000], [0.5000, 0.5000, 0.5000], [0.7500, 0.2500, 0.2500], [0.7500, 0.7500, 0.7500], [0.2500, 0.2500, 0.2500], [0.2500, 0.7500, 0.7500], [0.7500, 0.2500, 0.7500], [0.7500, 0.7500, 0.2500]],
  "total_magnetization_mub_per_atom": 0.00,
  "total_energy_ev_per_atom": -4.489
}

=====

8.
{
  "formula": "TaCoNiPb",
  "functional": "PBE-GGA",
  "state": "optimized geometry",
  "lattice_angstrom": [[6.2402, 0.0000, 0.0000], [0.0000, 6.2402, 0.0000], [0.0000, 0.0000, 6.2402]],
  "species": ["Ta", "Ta", "Ta", "Ta", "Co", "Co", "Co", "Co", "Ni", "Ni", "Ni", "Ni", "Pb", "Pb", "Pb", "Pb"],
  "frac_coords": [[0.0000, 0.0000, 0.0000], [0.0000, 0.5000, 0.5000], [0.5000, 0.0000, 0.5000], [0.5000, 0.5000, 0.0000], [0.2500, 0.2500, 0.7500], [0.2500, 0.7500, 0.2500], [0.7500, 0.2500, 0.2500], [0.7500, 0.7500, 0.7500], [0.2500, 0.2500, 0.2500], [0.2500, 0.7500, 0.7500], [0.7500, 0.2500, 0.7500], [0.7500, 0.7500, 0.2500], [0.0000, 0.0000, 0.5000], [0.0000, 0.5000, 0.0000], [0.5000, 0.0000, 0.0000], [0.5000, 0.5000, 0.5000]],
  "total_magnetization_mub_per_atom": 0.01,
  "de_polymorph_ev_per_fu": 0.000
}

=====

9.
{
  "formula": "PmGdTc",
  "functional": "PBE-GGA",
  "state": "optimized geometry",
  "lattice_angstrom": [[6.7997, 0.0000, 0.0000], [0.0000, 6.7997, 0.0000], [0.0000, 0.0000, 6.7997]],
  "species": ["Pm", "Pm", "Pm", "Pm", "Gd", "Gd", "Gd", "Gd", "Tc", "Tc", "Tc", "Tc"],
  "frac_coords": [[0.0000, 0.0000, 0.0000], [0.0000, 0.5000, 0.5000], [0.5000, 0.0000, 0.5000], [0.5000, 0.5000, 0.0000], [0.2500, 0.2500, 0.2500], [0.2500, 0.7500, 0.7500], [0.7500, 0.2500, 0.7500], [0.7500, 0.7500, 0.2500], [0.0000, 0.0000, 0.5000], [0.0000, 0.5000, 0.0000], [0.5000, 0.0000, 0.0000], [0.5000, 0.5000, 0.5000]],
  "total_magnetization_mub_per_atom": 0.11,
  "e_form_ev_per_atom": 0.925,
  "de_polymorph_ev_per_fu": 0.000
}